# 1
A plane-wave DFT calculation with PBE-GGA was carried out for La2Tb3NdSm6 after structural relaxation.

Calculated values
* energy of formation: 0.019 eV per atom
* SG: C2/m (12)
* D(E_F): 1.56 states/eV per atom
* volume: 34.09 Å³ per atom

abc: 6.3058 6.3058 12.0674
angles: 95.02 95.02 120.02
Closest atoms and distances in Å follow each position.
Sites, in units of the cell vectors:
Tb1 0.5000 0.5000 0.5000  6 Sm 3.59-3.60, 6 Tb 3.64
Tb2 0.1665 0.8335 0.5000  6 Sm 3.59, 6 Tb 3.64
Tb3 0.8335 0.1665 0.5000  6 Sm 3.59, 6 Tb 3.64
Sm1 0.2476 0.2476 0.7451  3 Tb 3.59-3.60, 6 Sm 3.64, 1 Nd 3.68, 2 La 3.69
Sm2 0.0853 0.4182 0.2549  3 Tb 3.59, 6 Sm 3.64, 1 Nd 3.69, 2 La 3.69
Sm3 0.9147 0.5818 0.7451  3 Tb 3.59, 6 Sm 3.64, 1 Nd 3.69, 2 La 3.69
Sm4 0.5818 0.9147 0.7451  3 Tb 3.59, 6 Sm 3.64, 1 Nd 3.69, 2 La 3.69
Sm5 0.4182 0.0853 0.2549  3 Tb 3.59, 6 Sm 3.64, 1 Nd 3.69, 2 La 3.69
Sm6 0.7524 0.7524 0.2549  3 Tb 3.59-3.60, 6 Sm 3.64, 1 Nd 3.68, 2 La 3.69
Nd1 0.0000 0.0000 0.0000  6 La 3.64, 6 Sm 3.68-3.69
La1 0.3334 0.6666 0.0000  3 Nd 3.64, 3 La 3.64, 6 Sm 3.69
La2 0.6666 0.3334 0.0000  3 Nd 3.64, 3 La 3.64, 6 Sm 3.69



# 2
A plane-wave DFT calculation with PBE-GGA was carried out for HgPbF4 after structural relaxation.

Calculated values
* SG: Fddd (70)
* D(E_F): 0.00 states/eV per atom
* E_form (uncorrected): -1.92 eV/atom
* volume: 16.64 Å³ per atom
* energy relative to the lowest polymorph listed for this composition: 0.000 eV per atom

abc: 5.8655 7.0590 5.8655
angles: 112.71 94.04 112.71
Closest atoms and distances in Å follow each position.
Sites, in units of the cell vectors:
F1 0.7572 0.9956 0.0252  1 Hg 2.34, 2 Pb 2.55-2.58
F2 0.2386 0.9957 0.4705  1 Hg 2.34, 2 Pb 2.55-2.58
F3 0.2428 0.0044 0.9748  1 Hg 2.34, 2 Pb 2.55-2.58
F4 0.0252 0.4956 0.7572  1 Hg 2.34, 2 Pb 2.55-2.58
F5 0.7614 0.0043 0.5295  1 Hg 2.34, 2 Pb 2.55-2.58
F6 0.5295 0.5043 0.7614  1 Hg 2.34, 2 Pb 2.55-2.58
F7 0.9748 0.5044 0.2428  1 Hg 2.34, 2 Pb 2.55-2.58
F8 0.4705 0.4957 0.2386  1 Hg 2.34, 2 Pb 2.55-2.58
Pb1 0.6250 0.2500 0.3750  8 F 2.55-2.58
Pb2 0.3750 0.7500 0.6250  8 F 2.55-2.58
Hg1 0.1251 0.2500 0.8749  4 F 2.34
Hg2 0.8749 0.7500 0.1251  4 F 2.34



# 3
A plane-wave DFT calculation with PBE-GGA was carried out for Pr10SmHo6 after structural relaxation.

Calculated values
* energy of formation: 0.130 eV per atom
* SG: P-31m (162)
* D(E_F): 1.55 states/eV per atom
* volume: 34.82 Å³ per atom

abc: 6.9588 9.9104 9.9104
angles: 120.00 90.00 90.00
Closest atoms and distances in Å follow each position.
Sites, in units of the cell vectors:
Sm1 0.5000 0.0000 0.0000  6 Pr 3.53, 6 Ho 3.87
Ho1 0.3134 0.0000 0.3681  7 Pr 3.40-3.64, 1 Ho 3.68
Ho2 0.3134 0.6319 0.6319  7 Pr 3.40-3.64, 1 Ho 3.68
Ho3 0.3134 0.3681 0.0000  7 Pr 3.40-3.64, 1 Ho 3.68
Ho4 0.6866 0.0000 0.6319  7 Pr 3.40-3.64, 1 Ho 3.68
Ho5 0.6866 0.3681 0.3681  7 Pr 3.40-3.64, 1 Ho 3.68
Ho6 0.6866 0.6319 0.0000  7 Pr 3.40-3.64, 1 Ho 3.68
Pr1 0.1812 0.2768 0.2768  5 Ho 3.42-3.64, 1 Sm 3.53, 2 Pr 3.73
Pr2 0.0000 0.3333 0.6667  8 Pr 3.48-3.83, 6 Ho 3.83
Pr3 0.1812 0.0000 0.7232  5 Ho 3.42-3.64, 1 Sm 3.53, 2 Pr 3.73
Pr4 0.1812 0.7232 0.0000  5 Ho 3.42-3.64, 1 Sm 3.53, 2 Pr 3.73
Pr5 0.8188 0.0000 0.2768  5 Ho 3.42-3.64, 1 Sm 3.53, 2 Pr 3.73
Pr6 0.5000 0.6667 0.3333  6 Ho 3.40, 2 Pr 3.48
Pr7 0.8188 0.7232 0.7232  5 Ho 3.42-3.64, 1 Sm 3.53, 2 Pr 3.73
Pr8 0.5000 0.3333 0.6667  6 Ho 3.40, 2 Pr 3.48
Pr9 0.8188 0.2768 0.0000  5 Ho 3.42-3.64, 1 Sm 3.53, 2 Pr 3.73
Pr10 0.0000 0.6667 0.3333  8 Pr 3.48-3.83, 6 Ho 3.83



# 4
A plane-wave DFT calculation with PBE-GGA was carried out for PuThRe after structural relaxation.

Calculated values
* energy of formation: 0.156 eV per atom
* SG: I4mm (107)
* D(E_F): 2.56 states/eV per atom
* volume: 22.38 Å³ per atom

abc: 3.4961 3.4961 6.0245
angles: 106.87 106.87 90.00
Closest atoms and distances in Å follow each position.
Sites, in units of the cell vectors:
Th1 0.0076 0.0076 0.0153  4 Re 3.06, 4 Pu 3.21
Re1 0.6716 0.6716 0.3432  4 Pu 2.97, 4 Th 3.06
Pu1 0.3208 0.3208 0.6415  4 Re 2.97, 4 Th 3.21



# 5
A plane-wave DFT calculation with PBE-GGA was carried out for BC4 after structural relaxation.

Calculated values
* energy of formation: 0.251 eV per atom
* SG: I-4m2 (119)
* D(E_F): 0.11 states/eV per atom
* volume: 6.09 Å³ per atom
* energy relative to the lowest polymorph listed for this composition: 0.027 eV per atom

abc: 9.7864 9.7864 9.7864
angles: 165.23 165.23 20.95
Closest atoms and distances in Å follow each position.
Sites, in units of the cell vectors:
C1 0.1941 0.1941 0.0000  4 C 1.52-1.56
C2 0.2388 0.7388 0.5000  2 C 1.52, 2 B 1.67
C3 0.4612 0.9612 0.5000  2 C 1.52, 2 B 1.67
C4 0.0059 0.0059 0.0000  4 C 1.52-1.56
C5 0.6463 0.1463 0.5000  4 C 1.54-1.56
C6 0.8500 0.3500 0.5000  4 B 1.63
C7 0.6000 0.6000 0.0000  4 C 1.54
C8 0.0537 0.5537 0.5000  4 C 1.54-1.56
B1 0.7962 0.7962 0.0000  4 C 1.63-1.67
B2 0.4038 0.4038 0.0000  4 C 1.63-1.67



# 6
A plane-wave DFT calculation with PBE-GGA was carried out for NdZrScIr2 after structural relaxation.

Calculated values
* energy of formation: -0.754 eV per atom
* SG: I-4m2 (119)
* D(E_F): 0.86 states/eV per atom
* volume: 22.35 Å³ per atom

abc: 4.4039 4.4039 6.5496
angles: 109.65 109.65 90.00
Closest atoms and distances in Å follow each position.
Sites, in units of the cell vectors:
Ir1 0.3868 0.3868 0.7735  1 Ir 2.61, 2 Zr 2.71, 2 Sc 2.71
Ir2 0.6132 0.6132 0.2265  1 Ir 2.61, 2 Sc 2.71, 2 Zr 2.71
Nd1 0.0000 0.0000 0.0000  8 Ir 3.38, 4 Sc 3.63, 4 Zr 3.63
Sc1 0.7500 0.2500 0.5000  4 Ir 2.71
Zr1 0.2500 0.7500 0.5000  4 Ir 2.71



# 7
A plane-wave DFT calculation with PBE-GGA was carried out for LiCrFe2 after structural relaxation.

Calculated values
* energy of formation: 0.276 eV per atom
* SG: C2/m (12)
* D(E_F): 0.73 states/eV per atom
* volume: 11.35 Å³ per atom
* energy relative to the lowest polymorph listed for this composition: 0.085 eV per atom

abc: 4.6738 4.8898 2.3986
angles: 79.02 80.97 118.31
Closest atoms and distances in Å follow each position.
Sites, in units of the cell vectors:
Cr1 0.5000 0.0000 0.5000  2 Cr 2.40, 4 Fe 2.45, 2 Li 2.51
Fe1 0.0000 0.5000 0.5000  4 Fe 2.40-2.51, 2 Cr 2.45, 2 Li 2.45
Fe2 0.0000 0.0000 0.0000  4 Fe 2.40-2.51, 2 Li 2.45, 2 Cr 2.45
Li1 0.5000 0.5000 0.0000  2 Li 2.40, 4 Fe 2.45, 2 Cr 2.51



# 8
A plane-wave DFT calculation with PBE-GGA was carried out for GaSiMo4S8 after structural relaxation.

Calculated values
* SG: F-43m (216)
* D(E_F): 0.34 states/eV per atom
* E_form (uncorrected): -0.43 eV/atom
* volume: 21.21 Å³ per atom

abc: 7.4879 7.4879 7.4879
angles: 60.00 60.00 60.00
Closest atoms and distances in Å follow each position.
Sites, in units of the cell vectors:
S1 0.8637 0.4088 0.8637  1 Si 2.09
S2 0.3755 0.8735 0.3755  3 Mo 2.36
S3 0.3755 0.3755 0.8735  3 Mo 2.36
S4 0.8637 0.8637 0.4088  1 Si 2.09
S5 0.3755 0.3755 0.3755  3 Mo 2.36
S6 0.8735 0.3755 0.3755  3 Mo 2.36
S7 0.4088 0.8637 0.8637  1 Si 2.09
S8 0.8637 0.8637 0.8637  1 Si 2.09
Ga1 0.0000 0.0000 0.0000  4 S 2.50
Mo1 0.5942 0.2173 0.5942  3 S 2.36
Mo2 0.2173 0.5942 0.5942  3 S 2.36
Mo3 0.5942 0.5942 0.5942  3 S 2.36
Mo4 0.5942 0.5942 0.2173  3 S 2.36
Si1 0.7500 0.7500 0.7500  4 S 2.09



# 9
A plane-wave DFT calculation with PBE-GGA was carried out for K2Te after structural relaxation.

Calculated values
* SG: Fd-3m (227)
* D(E_F): 0.88 states/eV per atom
* E_form (uncorrected): -0.30 eV/atom
* volume: 36.82 Å³ per atom

abc: 6.7856 6.7856 6.7856
angles: 60.00 60.00 60.00
Closest atoms and distances in Å follow each position.
Sites, in units of the cell vectors:
K1 0.6250 0.1250 0.1250  6 K 3.39
K2 0.1250 0.1250 0.1250  6 K 3.39
K3 0.1250 0.6250 0.1250  6 K 3.39
K4 0.1250 0.1250 0.6250  6 K 3.39
Te1 0.7500 0.7500 0.7500  12 K 3.98, 4 Te 4.16
Te2 0.5000 0.5000 0.5000  12 K 3.98, 4 Te 4.16



# 10
A plane-wave DFT calculation with PBE-GGA was carried out for AcEuAgSb after structural relaxation.

Calculated values
* SG: F-43m (216)
* D(E_F): 0.74 states/eV per atom
* E_form (uncorrected): -0.63 eV/atom
* volume: 31.01 Å³ per atom

abc: 5.5982 5.5982 5.5982
angles: 60.00 60.00 60.00
Closest atoms and distances in Å follow each position.
Sites, in units of the cell vectors:
Sb1 0.7500 0.7500 0.7500  4 Ac 3.43, 4 Eu 3.43
Ac1 0.5000 0.5000 0.5000  4 Ag 3.43, 4 Sb 3.43
Eu1 0.0000 0.0000 0.0000  4 Sb 3.43, 4 Ag 3.43
Ag1 0.2500 0.2500 0.2500  4 Ac 3.43, 4 Eu 3.43



Size of the total moment values, unit μB/atom, following the record order: 0.000, 0.000, 0.000, 1.645, 0.000, 0.000, 0.741, 0.000, 0.000, 1.983.
Total energy values, unit eV per atom, following the record order: -4.72, -3.84, -4.58, -11.24, -8.46, -8.23, -6.84, -6.49, -2.08, -5.97.